(1)
# ZnReTc (meta-GGA SCAN, PBEsol geometry)
data_ZnReTc
_chemical_formula_sum 'Zn2 Re2 Tc2'
_cell_length_a 3.0509
_cell_length_b 3.0509
_cell_length_c 8.9801
_cell_angle_alpha 90.00
_cell_angle_beta 90.00
_cell_angle_gamma 90.00
_space_group_name_H-M_alt 'I 4 m m'
_space_group_IT_number 107
_space_group_name_Hall 'I 4 -2'
loop_
_atom_site_label
_atom_site_type_symbol
_atom_site_fract_x
_atom_site_fract_y
_atom_site_fract_z
Zn1 Zn 0.0000 0.0000 0.0000
Re1 Re 0.0000 0.0000 0.6739
Tc1 Tc 0.0000 0.0000 0.3281
# Total magnetic moment   0.00 μB/f.u.
# Distance to the lowest polymorph of the same formula   0.0 meV per atom
# ΔE_f   -0.013 eV/atom



(2)
# ZnReTc2 (meta-GGA SCAN, PBEsol geometry)
data_ZnReTc2
_chemical_formula_sum 'Zn3 Re3 Tc6'
_cell_length_a 2.7270
_cell_length_b 2.7270
_cell_length_c 26.3409
_cell_angle_alpha 90.00
_cell_angle_beta 90.00
_cell_angle_gamma 120.00
_space_group_name_H-M_alt 'R -3 m'
_space_group_IT_number 166
_space_group_name_Hall '-R 3 2"'
loop_
_atom_site_label
_atom_site_type_symbol
_atom_site_fract_x
_atom_site_fract_y
_atom_site_fract_z
Zn1 Zn 0.0000 0.0000 0.0000
Re1 Re 0.0000 0.0000 0.5000
Tc1 Tc 0.0000 0.0000 0.2489
# Total magnetic moment   0.00 μB/f.u.
# ΔE_f   0.037 eV/atom



(3)
# Zn2ReTc (meta-GGA SCAN, PBEsol geometry)
data_Zn2ReTc
_chemical_formula_sum 'Zn2 Re1 Tc1'
_cell_length_a 3.0412
_cell_length_b 4.2277
_cell_length_c 4.3339
_cell_angle_alpha 90.00
_cell_angle_beta 90.00
_cell_angle_gamma 90.00
_space_group_name_H-M_alt 'P m m m'
_space_group_IT_number 47
loop_
_space_group_symop_operation_xyz
'x,y,z'
'-x,-y,-z'
'-x,-y,z'
'x,y,-z'
'x,-y,-z'
'-x,y,z'
'-x,y,-z'
'x,-y,z'
loop_
_atom_site_label
_atom_site_type_symbol
_atom_site_fract_x
_atom_site_fract_y
_atom_site_fract_z
Zn1 Zn 0.0000 0.0000 0.0000
Zn2 Zn 0.5000 0.5000 0.0000
Re1 Re 0.0000 0.5000 0.5000
Tc1 Tc 0.5000 0.0000 0.5000
# Total magnetic moment   0.00 μB/f.u.
# Distance to the lowest polymorph of the same formula   192.4 meV per atom
# ΔE_f   0.180 eV/atom



> ΔE_f of number 3 (Zn2ReTc)?

0.180 eV/atom



> The highest ΔE_f belongs to which entry?

Zn2ReTc



> The highest ΔE_f belongs to which entry?

Zn2ReTc



> Which formula does entry 1 have?

ZnReTc